Record 1
First-principles (PBE) data for an optimized crystal structure of K2CrPdPt, as listed in the Alexandria database.

## Properties
**Energy of formation from the pure elements**: 880 meV/atom

Cell lengths 6.2161, 4.6774, 6.2161 Å; angles 90.00, 90.00, 90.00 degrees
With the nearest neighbours (Å) after each atom.
Element x y z (fractional)
Cr 0.0000 0.0000 0.0000  2 Pt 2.34
Pd 0.5000 0.5000 0.5000  8 K 3.89
K 0.5000 0.0000 0.0000  2 Cr 3.11
K 0.0000 0.0000 0.5000  2 Cr 3.11
Pt 0.0000 0.5000 0.0000  2 Cr 2.34

Record 2
First-principles (PBE) data for an optimized crystal structure of KCrPdS2, as listed in the Alexandria database.

## Properties
**Raw formation energy**: -0.73 eV per atom

Cell lengths 5.3750, 5.5431, 7.3487 Å; angles 112.16, 90.00, 90.00 degrees
With the nearest neighbours (Å) after each atom.
Element x y z (fractional)
S 0.3241 0.3898 0.7795  2 Cr 2.25, 1 Pd 2.30
S 0.3241 0.1102 0.2205  2 Cr 2.25, 1 Pd 2.30
S 0.6759 0.6102 0.2205  2 Cr 2.25, 1 Pd 2.30
S 0.6759 0.8898 0.7795  2 Cr 2.25, 1 Pd 2.30
Pd 0.0000 0.0000 0.0000  2 S 2.30
Pd 0.0000 0.5000 0.0000  2 S 2.30
Cr 0.5000 0.2500 0.0000  4 S 2.25
Cr 0.5000 0.7500 0.0000  4 S 2.25
K 0.7852 0.2500 0.5000  8 S 3.12-3.47
K 0.2148 0.7500 0.5000  8 S 3.12-3.47

Record 3
First-principles (PBE) data for an optimized crystal structure of K3CrPd2Se6, as listed in the Alexandria database.

## Properties
**Raw formation energy**: -0.63 eV per atom

Cell lengths 6.8168, 6.8168, 7.6539 Å; angles 98.51, 98.51, 120.01 degrees
With the nearest neighbours (Å) after each atom.
Element x y z (fractional)
Se 0.3838 0.0580 0.1738  1 Cr 2.56, 2 Pd 2.62-2.63
Se 0.2674 0.2674 0.8249  1 Cr 2.56, 2 Pd 2.63
Se 0.0580 0.3838 0.1738  1 Cr 2.56, 2 Pd 2.62-2.63
Se 0.7326 0.7326 0.1751  1 Cr 2.56, 2 Pd 2.63
Se 0.9420 0.6162 0.8262  1 Cr 2.56, 2 Pd 2.62-2.63
Se 0.6162 0.9420 0.8262  1 Cr 2.56, 2 Pd 2.62-2.63
Pd 0.6664 0.3336 0.0000  6 Se 2.62-2.63
Pd 0.3336 0.6664 0.0000  6 Se 2.62-2.63
K 0.1702 0.8298 0.5000  6 Se 3.28-3.31
K 0.8298 0.1702 0.5000  6 Se 3.28-3.31
K 0.5000 0.5000 0.5000  6 Se 3.28-3.32
Cr 0.0000 0.0000 0.0000  6 Se 2.56

Record 4
First-principles (PBE) data for an optimized crystal structure of KCrPdSe3, as listed in the Alexandria database.

## Properties
**Raw formation energy**: -0.60 eV per atom

Cell lengths 3.7432, 8.2802, 9.7742 Å; angles 113.64, 90.00, 90.00 degrees
With the nearest neighbours (Å) after each atom.
Element x y z (fractional)
Pd 0.2500 0.0811 0.6149  4 Se 2.47-2.72
Pd 0.7500 0.9189 0.3851  4 Se 2.47-2.72
Cr 0.7500 0.3049 0.8364  6 Se 2.43-2.58
Cr 0.2500 0.6951 0.1636  6 Se 2.43-2.58
Se 0.7500 0.4679 0.1235  3 Cr 2.57-2.58
Se 0.2500 0.7357 0.4245  1 Cr 2.43, 3 Pd 2.53-2.72
Se 0.2500 0.1225 0.8800  1 Pd 2.47, 2 Cr 2.55
Se 0.7500 0.8775 0.1200  1 Pd 2.47, 2 Cr 2.55
Se 0.7500 0.2643 0.5755  1 Cr 2.43, 3 Pd 2.53-2.72
Se 0.2500 0.5321 0.8765  3 Cr 2.57-2.58
K 0.7500 0.7550 0.7277  8 Se 3.34-3.72, 2 K 3.74
K 0.2500 0.2450 0.2723  8 Se 3.34-3.72, 2 K 3.74

Record 5
First-principles (PBE) data for an optimized crystal structure of KCrTe3Pd, as listed in the Alexandria database.

## Properties
**Raw formation energy**: -0.44 eV per atom

Cell lengths 3.9488, 8.8829, 10.5465 Å; angles 114.37, 90.00, 90.00 degrees
With the nearest neighbours (Å) after each atom.
Element x y z (fractional)
Te 0.7500 0.2516 0.5680  1 Cr 2.68, 3 Pd 2.69-2.74
Te 0.2500 0.5367 0.8726  3 Cr 2.76-2.79
Te 0.7500 0.4633 0.1274  3 Cr 2.76-2.79
Te 0.2500 0.7484 0.4320  1 Cr 2.68, 3 Pd 2.69-2.74
Te 0.7500 0.8832 0.1226  1 Pd 2.64, 2 Cr 2.73
Te 0.2500 0.1168 0.8774  1 Pd 2.64, 2 Cr 2.73
K 0.2500 0.2458 0.2804  7 Te 3.55-3.92, 2 K 3.95
K 0.7500 0.7542 0.7196  7 Te 3.55-3.92, 2 K 3.95
Pd 0.7500 0.9249 0.3854  4 Te 2.64-2.74
Pd 0.2500 0.0751 0.6146  4 Te 2.64-2.74
Cr 0.7500 0.3056 0.8376  6 Te 2.68-2.79
Cr 0.2500 0.6944 0.1624  6 Te 2.68-2.79

Record 6
First-principles (PBE) data for an optimized crystal structure of K2Pm2CrS6, as listed in the Alexandria database.

## Properties
**Raw formation energy**: -1.38 eV per atom

Cell lengths 6.7375, 6.7375, 7.8959 Å; angles 98.69, 98.69, 118.69 degrees
With the nearest neighbours (Å) after each atom.
Element x y z (fractional)
S 0.2238 0.2238 0.3116  1 Cr 2.44
S 0.7762 0.7762 0.6884  1 Cr 2.44
S 0.0673 0.3631 0.6931  1 Cr 2.47
S 0.6369 0.9327 0.3069  1 Cr 2.47
S 0.3631 0.0673 0.6931  1 Cr 2.47
S 0.9327 0.6369 0.3069  1 Cr 2.47
Cr 0.0000 0.0000 0.5000  6 S 2.44-2.47
K 0.8280 0.1720 0.0000  6 S 3.19-3.35
K 0.1720 0.8280 0.0000  6 S 3.19-3.35
Pm 0.3326 0.6674 0.5000  6 S 2.79-2.82
Pm 0.6674 0.3326 0.5000  6 S 2.79-2.82